Entry 1:
12
Lattice="10.0552 0.0000 0.0000 0.0000 5.6677 0.0000 -3.2436 0.0000 4.9872" Properties=species:S:1:pos:R:3 comment="Li3Ca2Cu, relaxed, DFT PBE" e_form_mev_per_atom=11 energy_ev_per_atom=-2.2954 pbc="T T T"
Li 0.0000 0.0000 0.0000
Li 2.5138 1.4169 0.0000
Li 2.5138 4.2508 0.0000
Li 5.0276 2.8338 0.0000
Li 7.5414 1.4169 0.0000
Li 7.5414 4.2508 0.0000
Ca 0.0277 2.8338 1.8863
Ca 1.7563 0.0000 3.1009
Ca 5.0553 0.0000 1.8863
Ca 6.7839 2.8338 3.1009
Cu -1.6218 0.0000 2.4936
Cu 3.4058 2.8338 2.4936

Entry 2:
10
Lattice="9.0293 -2.0782 0.0000 9.0293 2.0782 0.0000 -2.9327 0.0000 7.0013" Properties=species:S:1:pos:R:3 comment="LiCa5Cu4, relaxed, DFT PBE" e_form_mev_per_atom=-77 energy_ev_per_atom=-2.9079 pbc="T T T"
Li 0.0000 0.0000 0.0000
Ca -1.4663 0.0000 3.5006
Ca 4.3883 0.0000 2.8569
Ca 3.5546 0.0000 6.8089
Ca 11.5713 0.0000 0.1924
Ca 10.7376 0.0000 4.1444
Cu 1.3384 0.0000 2.1074
Cu 6.1084 0.0000 5.3446
Cu 9.0175 0.0000 1.6567
Cu 13.7875 0.0000 4.8939